Here is a relaxed structure of CoAgF5 from Alexandria via LeMat-Bulk. Energies are from PBE+U.

DFT total energy = -4.040 eV/atom

a b c (Å): 3.8670 6.5719 7.9689
angles (deg): 90.00 90.00 90.00
With the nearest neighbours (Å) after each atom.
Space group Immm (No. 71)
Symmetry-distinct sites (fractional):
Co (0.0000, 0.0000, 0.0000) x2  6 F 1.85-1.96
Ag (0.0000, 0.0000, 0.5000) x2  6 F 2.13-2.34
F (0.0000, 0.0000, 0.2322) x4  1 Co 1.85
F (0.0000, 0.2981, 0.0000) x4  1 Co 1.96
F (0.0000, 0.5000, 0.5000) x2  2 Co 1.93